[1]
# MgSc2Ta | Alexandria via LeMat-Bulk | PBE | optimized geometry
# - energy relative to the elements (meV/atom) = 45
data_MgSc2Ta
_cell_length_a 3.035
_cell_length_b 3.035
_cell_length_c 9.535
_cell_angle_alpha 90.00
_cell_angle_beta 90.00
_cell_angle_gamma 90.00
_space_group_name_H-M_alt 'P 4/m m m'
_space_group_IT_number 123
_space_group_name_Hall '-P 4 2'
loop_
_atom_site_label
_atom_site_type_symbol
_atom_site_fract_x
_atom_site_fract_y
_atom_site_fract_z
Mg1 Mg 0.000 0.000 0.000
Sc1 Sc 0.500 0.500 0.272
Ta1 Ta 0.000 0.000 0.500

=====

[2]
# Tb5ThN4 | Alexandria via LeMat-Bulk | PBE | optimized geometry
# - formation energy (no corrections) (eV/atom) = -1.2701
data_Tb5ThN4
_cell_length_a 15.478
_cell_length_b 3.537
_cell_length_c 7.229
_cell_angle_alpha 90.00
_cell_angle_beta 103.00
_cell_angle_gamma 90.00
_space_group_name_H-M_alt 'C 1 2/m 1'
_space_group_IT_number 12
loop_
_space_group_symop_operation_xyz
'x,y,z'
'-x,-y,-z'
'-x,y,-z'
'x,-y,z'
'x+1/2,y+1/2,z'
'-x+1/2,-y+1/2,-z'
'-x+1/2,y+1/2,-z'
'x+1/2,-y+1/2,z'
loop_
_atom_site_label
_atom_site_type_symbol
_atom_site_fract_x
_atom_site_fract_y
_atom_site_fract_z
Tb1 Tb 0.000 0.000 0.000
Tb2 Tb 0.163 0.500 0.813
Tb3 Tb 0.167 0.500 0.349
Th1 Th 0.000 0.000 0.500
N1 N 0.002 0.500 0.756
N2 N 0.169 0.000 0.586

=====

[3]
# CaCe2HoHg4 | Alexandria via LeMat-Bulk | PBE | optimized geometry
# - energy relative to the elements (meV/atom) = -409
data_CaCe2HoHg4
_cell_length_a 5.3689
_cell_length_b 5.3689
_cell_length_c 26.2626
_cell_angle_alpha 90.00
_cell_angle_beta 90.00
_cell_angle_gamma 120.00
_space_group_name_H-M_alt 'R -3 m'
_space_group_IT_number 166
_space_group_name_Hall '-R 3 2"'
loop_
_atom_site_label
_atom_site_type_symbol
_atom_site_fract_x
_atom_site_fract_y
_atom_site_fract_z
Ca1 Ca 0.0000 0.0000 0.0000
Ce1 Ce 0.0000 0.0000 0.2505
Ho1 Ho 0.0000 0.0000 0.5000
Hg1 Hg 0.0000 0.0000 0.1263
Hg2 Hg 0.0000 0.0000 0.3766

=====

| no. | magnetic moment (μB per atom) |
| --- | --- |
| 1 | 0.0000 |
| 2 | 0.0000 |
| 3 | 0.2628 |